Computed, not measured: a relaxed structure of CrHgSe2 at the GGA-PBEsol level of DFT.

The value obtained for the formation energy without anion corrections is -0.07 eV/atom.

The space group is Immm (No. 71) and the conventional cell measures 2.9451, 4.9710 and 11.1202 Å, with angles of 90.00, 90.00 and 90.00 degrees. The inequivalent atoms are Cr at (0.0000, 0.0000, 0.0000), Hg at (0.0000, 0.0000, 0.5000) and Se at (0.0000, 0.5000, 0.3297).

---

Computed, not measured: a relaxed structure of AsPdPtBr2 at the GGA-PBEsol level of DFT.

The value obtained for the formation energy without anion corrections is 0.87 eV/atom.

The space group is P4/mmm (No. 123) and the conventional cell measures 4.9072, 4.9072 and 4.7941 Å, with angles of 90.00, 90.00 and 90.00 degrees. The inequivalent atoms are As at (0.0000, 0.0000, 0.0000), Pd at (0.0000, 0.0000, 0.5000), Pt at (0.5000, 0.5000, 0.0000) and Br at (0.0000, 0.5000, 0.5000).

---

Computed, not measured: a relaxed structure of CdAsOs at the GGA-PBEsol level of DFT.

The calculation puts the calculated formation energy at 1.45 eV per atom. The value obtained for the offset from the most stable computed form is 1.245 eV per atom.

The space group is F-43m (No. 216) and the conventional cell measures 6.1927, 6.1927 and 6.1927 Å, with angles of 90.00, 90.00 and 90.00 degrees. The inequivalent atoms are Cd at (0.0000, 0.0000, 0.0000), As at (0.2500, 0.2500, 0.2500) and Os at (0.2500, 0.2500, 0.7500).

---

Number 1: energy -37.544 eV per cell, mass density 8.4 Mg/m³. Number 2: energy -17.443 eV per cell, mass density 7.7 Mg/m³. Number 3: energy -56.681 eV per cell, mass density 10.6 Mg/m³.